[1]
Below is a geometry-optimized LiLaNp2N4 structure, with properties calculated at the PBE level.

It has space group Cmcm (No. 63), with a = 3.522 Å, b = 11.327 Å, c = 11.252 Å, α = 90.00°, β = 90.00° and γ = 90.00°. The distinct sites, in fractional coordinates, are Li at (0.000, 0.163, 0.250), La at (0.000, 0.104, 0.750), Np at (0.000, 0.370, 0.557), N at (0.000, 0.000, 0.000), N at (0.000, 0.262, 0.107) and N at (0.000, 0.438, 0.750).

For the formation energy without anion corrections, the calculation gives -883 kJ/mol of formula units.



[2]
Below is a geometry-optimized LiLaNp4N8 structure, with properties calculated at the PBE level.

It has space group R3m (No. 160, hexagonal axes), with a = 6.9264 Å, b = 6.9264 Å, c = 15.6355 Å, α = 90.00°, β = 90.00° and γ = 120.00°. The distinct sites, in fractional coordinates, are Li at (0.0000, 0.0000, 0.0000), La at (0.0000, 0.0000, 0.3840), Np at (0.0000, 0.0000, 0.6108), Np at (0.1684, 0.3368, 0.8266), N at (0.0000, 0.0000, 0.2282), N at (0.0000, 0.0000, 0.7540), N at (0.0533, 0.5267, 0.7573) and N at (0.1756, 0.3512, 0.5600).

For the formation energy without anion corrections, the calculation gives -1341 kJ/mol of formula units.



[3]
Below is a geometry-optimized Li2LaNO structure, with properties calculated at the PBE level.

It has space group P4/mmm (No. 123), with a = 3.554 Å, b = 3.554 Å, c = 6.517 Å, α = 90.00°, β = 90.00° and γ = 90.00°. The distinct sites, in fractional coordinates, are Li at (0.000, 0.500, 0.000), La at (0.000, 0.000, 0.500), N at (0.500, 0.500, 0.000) and O at (0.500, 0.500, 0.500).

For the formation energy without anion corrections, the calculation gives -422 kJ/mol of formula units.



[4]
Below is a geometry-optimized LiLaNO2 structure, with properties calculated at the PBE level.

It has space group P4/mmm (No. 123), with a = 4.519 Å, b = 4.519 Å, c = 4.958 Å, α = 90.00°, β = 90.00° and γ = 90.00°. The distinct sites, in fractional coordinates, are Li at (0.000, 0.000, 0.000), La at (0.500, 0.500, 0.500), N at (0.500, 0.500, 0.000) and O at (0.000, 0.500, 0.500).

For the formation energy without anion corrections, the calculation gives -321 kJ/mol of formula units.



[5]
Below is a geometry-optimized LiLaN2O structure, with properties calculated at the PBE level.

It has space group P4/mmm (No. 123), with a = 4.456 Å, b = 4.456 Å, c = 4.544 Å, α = 90.00°, β = 90.00° and γ = 90.00°. The distinct sites, in fractional coordinates, are Li at (0.000, 0.000, 0.000), La at (0.500, 0.500, 0.500), N at (0.000, 0.500, 0.500) and O at (0.500, 0.500, 0.000).

For the formation energy without anion corrections, the calculation gives 140 kJ/mol of formula units.



[6]
Below is a geometry-optimized LiLaNO2 structure, with properties calculated at the PBE level.

It has space group P4/mmm (No. 123), with a = 3.925 Å, b = 3.925 Å, c = 3.743 Å, α = 90.00°, β = 90.00° and γ = 90.00°. The distinct sites, in fractional coordinates, are Li at (0.000, 0.000, 0.000), La at (0.500, 0.500, 0.500), N at (0.000, 0.000, 0.500) and O at (0.000, 0.500, 0.000).

For the formation energy without anion corrections, the calculation gives -536 kJ/mol of formula units.



[7]
Below is a geometry-optimized LiLaN2O structure, with properties calculated at the PBE level.

It has space group P4/mmm (No. 123), with a = 3.729 Å, b = 3.729 Å, c = 4.092 Å, α = 90.00°, β = 90.00° and γ = 90.00°. The distinct sites, in fractional coordinates, are Li at (0.000, 0.000, 0.000), La at (0.500, 0.500, 0.500), N at (0.000, 0.500, 0.000) and O at (0.000, 0.000, 0.500).

For the formation energy without anion corrections, the calculation gives -126 kJ/mol of formula units.



[8]
Below is a geometry-optimized LiLa2Os2N6 structure, with properties calculated at the PBE level.

It has space group R-3m (No. 166, hexagonal axes), with a = 5.7408 Å, b = 5.7408 Å, c = 17.7085 Å, α = 90.00°, β = 90.00° and γ = 120.00°. The distinct sites, in fractional coordinates, are Li at (0.0000, 0.0000, 0.0000), La at (0.0000, 0.0000, 0.2099), Os at (0.0000, 0.0000, 0.3997) and N at (0.0100, 0.5050, 0.7615).

For the formation energy without anion corrections, the calculation gives -317 kJ/mol of formula units.



[9]
Below is a geometry-optimized LiLa2OsN structure, with properties calculated at the PBE level.

It has space group P4/mmm (No. 123), with a = 5.303 Å, b = 5.303 Å, c = 3.859 Å, α = 90.00°, β = 90.00° and γ = 90.00°. The distinct sites, in fractional coordinates, are Li at (0.000, 0.000, 0.000), La at (0.000, 0.500, 0.500), Os at (0.500, 0.500, 0.000) and N at (0.500, 0.500, 0.500).

For the formation energy without anion corrections, the calculation gives -238 kJ/mol of formula units.



[10]
Below is a geometry-optimized LiLa2OsN structure, with properties calculated at the PBE level.

It has space group P4/mmm (No. 123), with a = 5.086 Å, b = 5.086 Å, c = 3.811 Å, α = 90.00°, β = 90.00° and γ = 90.00°. The distinct sites, in fractional coordinates, are Li at (0.000, 0.000, 0.000), La at (0.000, 0.500, 0.500), Os at (0.500, 0.500, 0.000) and N at (0.000, 0.000, 0.500).

For the formation energy without anion corrections, the calculation gives -169 kJ/mol of formula units.



[11]
Below is a geometry-optimized LiLa2PN structure, with properties calculated at the PBE level.

It has space group P4/mmm (No. 123), with a = 5.007 Å, b = 5.007 Å, c = 4.062 Å, α = 90.00°, β = 90.00° and γ = 90.00°. The distinct sites, in fractional coordinates, are Li at (0.000, 0.000, 0.000), La at (0.000, 0.500, 0.500), P at (0.500, 0.500, 0.000) and N at (0.000, 0.000, 0.500).

For the formation energy without anion corrections, the calculation gives -530 kJ/mol of formula units.



[12]
Below is a geometry-optimized LiLaPN2 structure, with properties calculated at the PBE level.

It has space group P2/c (No. 13), with a = 5.621 Å, b = 4.036 Å, c = 6.315 Å, α = 90.00°, β = 102.41° and γ = 90.00°. The distinct sites, in fractional coordinates, are Li at (0.000, 0.014, 0.250), La at (0.500, 0.250, 0.750), P at (0.000, 0.500, 0.000) and N at (0.247, 0.232, 0.047).

For the formation energy without anion corrections, the calculation gives -241 kJ/mol of formula units.



[13]
Below is a geometry-optimized LiLa2PN structure, with properties calculated at the PBE level.

It has space group P2_1/m (No. 11), with a = 6.682 Å, b = 3.951 Å, c = 8.064 Å, α = 90.00°, β = 106.84° and γ = 90.00°. The distinct sites, in fractional coordinates, are Li at (0.036, 0.250, 0.240), La at (0.290, 0.750, 0.542), La at (0.321, 0.750, 0.114), P at (0.186, 0.250, 0.803) and N at (0.342, 0.250, 0.325).

For the formation energy without anion corrections, the calculation gives -553 kJ/mol of formula units.



[14]
Below is a geometry-optimized Li2LaPN4 structure, with properties calculated at the PBE level.

It has space group I-42m (No. 121), with a = 5.287 Å, b = 5.287 Å, c = 6.754 Å, α = 90.00°, β = 90.00° and γ = 90.00°. The distinct sites, in fractional coordinates, are Li at (0.000, 0.500, 0.250), La at (0.000, 0.000, 0.000), P at (0.000, 0.000, 0.500) and N at (0.182, 0.182, 0.363).

For the formation energy without anion corrections, the calculation gives -492 kJ/mol of formula units.



[15]
Below is a geometry-optimized LiLa4Pa3N8 structure, with properties calculated at the PBE level.

It has space group R-3m (No. 166, hexagonal axes), with a = 7.1381 Å, b = 7.1381 Å, c = 17.9002 Å, α = 90.00°, β = 90.00° and γ = 120.00°. The distinct sites, in fractional coordinates, are Li at (0.0000, 0.0000, 0.0000), La at (0.0000, 0.0000, 0.5000), La at (0.0000, 0.5000, 0.5000), Pa at (0.0000, 0.5000, 0.0000), N at (0.0000, 0.0000, 0.2650) and N at (0.0278, 0.5139, 0.2623).

For the formation energy without anion corrections, the calculation gives -2165 kJ/mol of formula units.



[16]
Below is a geometry-optimized LiLaPa2N4 structure, with properties calculated at the PBE level.

It has space group Cmcm (No. 63), with a = 3.587 Å, b = 11.607 Å, c = 11.351 Å, α = 90.00°, β = 90.00° and γ = 90.00°. The distinct sites, in fractional coordinates, are Li at (0.000, 0.167, 0.250), La at (0.000, 0.099, 0.750), Pa at (0.000, 0.371, 0.557), N at (0.000, 0.000, 0.000), N at (0.000, 0.260, 0.106) and N at (0.000, 0.434, 0.750).

For the formation energy without anion corrections, the calculation gives -1095 kJ/mol of formula units.



[17]
Below is a geometry-optimized LiLaPa4N8 structure, with properties calculated at the PBE level.

It has space group R3m (No. 160, hexagonal axes), with a = 7.1238 Å, b = 7.1238 Å, c = 15.8550 Å, α = 90.00°, β = 90.00° and γ = 120.00°. The distinct sites, in fractional coordinates, are Li at (0.0000, 0.0000, 0.0000), La at (0.0000, 0.0000, 0.3773), Pa at (0.0000, 0.0000, 0.6025), Pa at (0.1686, 0.3372, 0.8252), N at (0.0000, 0.0000, 0.2275), N at (0.0000, 0.0000, 0.7473), N at (0.0372, 0.5186, 0.7592) and N at (0.1713, 0.3425, 0.5661).

For the formation energy without anion corrections, the calculation gives -1928 kJ/mol of formula units.



[18]
Below is a geometry-optimized Li2La2PaN4 structure, with properties calculated at the PBE level.

It has space group C2/m (No. 12), with a = 12.601 Å, b = 3.484 Å, c = 6.083 Å, α = 90.00°, β = 108.93° and γ = 90.00°. The distinct sites, in fractional coordinates, are Li at (0.186, 0.000, 0.004), La at (0.140, 0.500, 0.568), Pa at (0.000, 0.500, 0.000), N at (0.030, 0.000, 0.773) and N at (0.201, 0.500, 0.206).

For the formation energy without anion corrections, the calculation gives -917 kJ/mol of formula units.



[19]
Below is a geometry-optimized LiLaPa2N5 structure, with properties calculated at the PBE level.

It has space group Cmc2_1 (No. 36), with a = 3.508 Å, b = 14.191 Å, c = 10.042 Å, α = 90.00°, β = 90.00° and γ = 90.00°. The distinct sites, in fractional coordinates, are Li at (0.000, 0.022, 0.000), La at (0.000, 0.299, 0.481), Pa at (0.000, 0.390, 0.791), Pa at (0.000, 0.393, 0.164), N at (0.000, 0.025, 0.790), N at (0.000, 0.120, 0.839), N at (0.000, 0.127, 0.516), N at (0.000, 0.203, 0.218) and N at (0.000, 0.452, 0.596).

For the formation energy without anion corrections, the calculation gives -957 kJ/mol of formula units.



[20]
Below is a geometry-optimized Li2LaPbN structure, with properties calculated at the PBE level.

It has space group P4/mmm (No. 123), with a = 4.816 Å, b = 4.816 Å, c = 4.610 Å, α = 90.00°, β = 90.00° and γ = 90.00°. The distinct sites, in fractional coordinates, are Li at (0.000, 0.500, 0.000), La at (0.000, 0.000, 0.500), Pb at (0.500, 0.500, 0.500) and N at (0.000, 0.000, 0.000).

For the formation energy without anion corrections, the calculation gives -204 kJ/mol of formula units.